Entry 1:
VASP calculation (PBE) on a relaxed PrGe2Pd9 crystal.

Cell: 8.462 8.462 8.462 Å, 99.20 99.20 132.86°
Fractional positions:
Pr1 0.375 0.625 0.750
Pr2 0.625 0.375 0.250
Ge1 0.000 0.000 0.000
Ge2 0.000 0.000 0.500
Ge3 0.000 0.500 0.000
Ge4 0.500 0.000 0.500
Pd1 0.125 0.875 0.250
Pd2 0.128 0.559 0.324
Pd3 0.128 0.804 0.569
Pd4 0.196 0.265 0.324
Pd5 0.196 0.872 0.931
Pd6 0.265 0.196 0.824
Pd7 0.265 0.441 0.069
Pd8 0.441 0.265 0.569
Pd9 0.441 0.872 0.176
Pd10 0.559 0.128 0.824
Pd11 0.559 0.735 0.431
Pd12 0.735 0.559 0.931
Pd13 0.735 0.804 0.176
Pd14 0.804 0.128 0.069
Pd15 0.804 0.735 0.676
Pd16 0.872 0.196 0.431
Pd17 0.872 0.441 0.676
Pd18 0.875 0.125 0.750

- Calculated volume: 16.96 A^3/atom
- Magnetization: 0.0 μB/cell
- Energy relative to the elements: -49.19 kJ per mole of atoms

Entry 2:
VASP calculation (PBE) on a relaxed RbBa3Mn crystal.

Cell: 6.244 6.244 6.244 Å, 90.00 90.00 90.00°
Fractional positions:
Rb1 0.000 0.000 0.000
Ba1 0.000 0.500 0.500
Ba2 0.500 0.000 0.500
Ba3 0.500 0.500 0.000
Mn1 0.500 0.500 0.500

- Calculated volume: 48.68 A^3/atom
- Magnetization: 0.0 μB/cell
- Energy relative to the elements: 61.50 kJ per mole of atoms

Entry 3:
VASP calculation (PBE) on a relaxed Tm5SiS4 crystal.

Cell: 6.755 6.755 6.755 Å, 99.52 99.52 132.01°
Fractional positions:
Tm1 0.000 0.000 0.000
Tm2 0.203 0.599 0.802
Tm3 0.401 0.203 0.604
Tm4 0.599 0.797 0.396
Tm5 0.797 0.401 0.198
Si1 0.500 0.500 0.000
S1 0.100 0.302 0.402
S2 0.302 0.900 0.203
S3 0.698 0.100 0.797
S4 0.900 0.698 0.598

- E_form (uncorrected): -17.48 eV/f.u.
- Calculated volume: 20.93 A^3/atom
- Magnetization: 0.0 μB/cell